1.
A relaxed structure of NpFeH5, computed with GGA-PBE.

Computed properties:
Calculated volume, Å³/f.u.: 52.6
Total DFT energy (no corrections), eV/cell: -39.2
Spin magnetization, μB/f.u.: 3.00
Space group: No. 71

Lattice parameters (Å, degrees): 4.310 4.310 4.310 129.42 117.40 84.54
Sites, in units of the cell vectors:
Np: 0.000 0.000 0.000
Fe: 0.500 0.500 0.000
H: 0.069 0.330 0.740
H: 0.410 0.670 0.740
H: 0.500 0.000 0.500
H: 0.590 0.330 0.260
H: 0.931 0.670 0.260

2.
A relaxed structure of Zr4RhSe, computed with GGA-PBE.

Computed properties:
Calculated volume, Å³/f.u.: 126.1
Spin magnetization, μB/f.u.: 0.00
Space group: No. 216
ΔE_f (raw), eV per atom: 0.2949

Lattice parameters (Å, degrees): 5.629 5.629 5.629 60.00 60.00 60.00
Sites, in units of the cell vectors:
Zr: 0.124 0.124 0.124
Zr: 0.124 0.124 0.627
Zr: 0.124 0.627 0.124
Zr: 0.627 0.124 0.124
Rh: 0.750 0.750 0.750
Se: 0.500 0.500 0.500

3.
A relaxed structure of YTaRu, computed with GGA-PBE.

Computed properties:
Calculated volume, Å³/f.u.: 59.1
ΔH_f (0 K), meV/atom: 80
Spin magnetization, μB/f.u.: 0.00
Space group: No. 156

Lattice parameters (Å, degrees): 4.577 4.577 3.256 90.00 90.00 120.00
Sites, in units of the cell vectors:
Y: 0.000 0.000 0.000
Ta: 0.333 0.667 0.574
Ru: 0.667 0.333 0.363